1.
! PBE RbVFe2, relaxed; values from VASP
&SYSTEM
  ibrav = 0, nat = 16, ntyp = 3
/
ATOMIC_SPECIES
Rb 85.47 Rb.upf
V 50.94 V.upf
Fe 55.84 Fe.upf
ATOMIC_POSITIONS crystal
Rb 0.000 0.250 0.375
Rb 0.000 0.750 0.625
Rb 0.500 0.250 0.125
Rb 0.500 0.750 0.875
V 0.000 0.250 0.875
V 0.000 0.750 0.125
V 0.500 0.250 0.625
V 0.500 0.750 0.375
Fe 0.000 0.000 0.000
Fe 0.000 0.500 0.000
Fe 0.250 0.250 0.750
Fe 0.250 0.750 0.250
Fe 0.500 0.000 0.500
Fe 0.500 0.500 0.500
Fe 0.750 0.250 0.750
Fe 0.750 0.750 0.250
CELL_PARAMETERS angstrom
5.056 0.000 0.000
0.000 5.056 0.000
0.000 0.000 16.192
! magnetization	7.83	μB/cell
! symmetry	No. 141

2.
! PBE RbVFe2, relaxed; values from VASP
&SYSTEM
  ibrav = 0, nat = 16, ntyp = 3
/
ATOMIC_SPECIES
Rb 85.47 Rb.upf
V 50.94 V.upf
Fe 55.84 Fe.upf
ATOMIC_POSITIONS crystal
Rb 0.000 0.000 0.000
Rb 0.000 0.500 0.500
Rb 0.500 0.000 0.500
Rb 0.500 0.500 0.000
V 0.000 0.000 0.500
V 0.000 0.500 0.000
V 0.500 0.000 0.000
V 0.500 0.500 0.500
Fe 0.250 0.250 0.250
Fe 0.250 0.250 0.750
Fe 0.250 0.750 0.250
Fe 0.250 0.750 0.750
Fe 0.750 0.250 0.250
Fe 0.750 0.250 0.750
Fe 0.750 0.750 0.250
Fe 0.750 0.750 0.750
CELL_PARAMETERS angstrom
6.717 0.000 0.000
0.000 6.717 0.000
0.000 0.000 6.717
! magnetization	9.07	μB/cell
! symmetry	No. 225

3.
! PBE RbV3Fe, relaxed; values from VASP
&SYSTEM
  ibrav = 0, nat = 5, ntyp = 3
/
ATOMIC_SPECIES
Rb 85.47 Rb.upf
V 50.94 V.upf
Fe 55.84 Fe.upf
ATOMIC_POSITIONS crystal
Rb 0.000 0.000 0.000
V 0.000 0.500 0.500
V 0.500 0.000 0.500
V 0.500 0.500 0.000
Fe 0.500 0.500 0.500
CELL_PARAMETERS angstrom
4.703 0.000 0.000
0.000 4.703 0.000
0.000 0.000 4.703
! magnetization	6.35	μB/cell
! symmetry	No. 221

4.
! PBE Rb2V2Fe, relaxed; values from VASP
&SYSTEM
  ibrav = 0, nat = 10, ntyp = 3
/
ATOMIC_SPECIES
Rb 85.47 Rb.upf
V 50.94 V.upf
Fe 55.84 Fe.upf
ATOMIC_POSITIONS crystal
Rb 0.219 0.281 0.000
Rb 0.281 0.781 0.000
Rb 0.719 0.219 0.000
Rb 0.781 0.719 0.000
V 0.060 0.560 0.500
V 0.440 0.060 0.500
V 0.560 0.940 0.500
V 0.940 0.440 0.500
Fe 0.000 0.000 0.000
Fe 0.500 0.500 0.000
CELL_PARAMETERS angstrom
10.619 0.000 0.000
0.000 10.619 0.000
0.000 0.000 3.069
! magnetization	6.35	μB/cell
! symmetry	No. 127

Asked for DFT total energy across the records above, the calculation gives -5.480; -5.257; -6.159; -4.057 eV per atom in order.
Asked for distance to the lowest polymorph of the same formula across the records above, the calculation gives 0.0; 21.5; 0.0; 37.7 kJ/mol of atoms in order.
Asked for formation enthalpy at 0 K across the records above, the calculation gives 1.273; 1.496; 1.198; 1.670 eV/atom in order.